A relaxed structure of NaPu2Ge4Pt3, computed with GGA-PBE.

Computed properties:
ΔE_f in eV per atom: -0.51
N(E_F) in states/eV/atom: 2.879

Lattice parameters (Å, degrees): 4.326 4.326 10.564 90.00 90.00 90.00
Fractional positions:
Na  0.000  0.000  0.000
Pu  0.000  0.500  0.743
Pu  0.500  0.000  0.257
Ge  0.000  0.000  0.500
Ge  0.000  0.500  0.146
Ge  0.500  0.000  0.854
Ge  0.500  0.500  0.500
Pt  0.000  0.500  0.378
Pt  0.500  0.000  0.622
Pt  0.500  0.500  0.000

A relaxed structure of Sm5HoTm4, computed with GGA-PBE.

Computed properties:
ΔE_f in eV per atom: 0.04
Distance to the lowest polymorph of the same formula in meV/atom: 0.0
N(E_F) in states/eV/atom: 1.435

Lattice parameters (Å, degrees): 8.673 8.673 11.348 108.46 108.46 23.49
Fractional positions:
Sm  0.000  0.000  0.000
Sm  0.289  0.289  0.384
Sm  0.311  0.311  0.923
Sm  0.689  0.689  0.077
Sm  0.711  0.711  0.616
Ho  0.000  0.000  0.500
Tm  0.105  0.105  0.795
Tm  0.418  0.418  0.707
Tm  0.582  0.582  0.293
Tm  0.895  0.895  0.205

Which of these has the lowest N(E_F)? Sm5HoTm4

Which value of N(E_F) does entry 2 give? 1.435 states/eV/atom

What did the second record say?
A relaxed structure of Sm5HoTm4, computed with GGA-PBE.

Computed properties:
ΔE_f in eV per atom: 0.04
Distance to the lowest polymorph of the same formula in meV/atom: 0.0
N(E_F) in states/eV/atom: 1.435

Lattice parameters (Å, degrees): 8.673 8.673 11.348 108.46 108.46 23.49
Fractional positions:
Sm  0.000  0.000  0.000
Sm  0.289  0.289  0.384
Sm  0.311  0.311  0.923
Sm  0.689  0.689  0.077
Sm  0.711  0.711  0.616
Ho  0.000  0.000  0.500
Tm  0.105  0.105  0.795
Tm  0.418  0.418  0.707
Tm  0.582  0.582  0.293
Tm  0.895  0.895  0.205